VASP calculation (PBE) on an optimized crystal structure of Cr2CoMo.

Cell and atoms, written as POSCAR:
```
Cr2CoMo
1.0
2.5396 0.0000 0.0000
0.0000 2.5396 0.0000
0.0000 0.0000 7.7893
Cr Co Mo
2 1 1
direct
0.0000 0.0000 0.0000
0.5000 0.5000 0.2509
0.5000 0.5000 0.7896
0.0000 0.0000 0.5329
```

space group = P4mm
calculated formation energy = 0.21 eV/atom
spin magnetization = 0.0 Bohr magnetons per cell
calculated density = 8557 kg/m³
V = 50.2 Å³ per cell



VASP calculation (PBE) on an optimized crystal structure of Rb3Er3HfSe8.

Cell and atoms, written as POSCAR:
```
Rb3Er3HfSe8
1.0
4.0991 2.3666 8.1612
-4.0991 2.3666 8.1612
0.0000 -4.7333 8.1612
Rb Er Hf Se
3 3 1 8
direct
0.0000 0.5000 0.5000
0.5000 0.0000 0.5000
0.5000 0.5000 0.0000
0.0000 0.0000 0.5000
0.0000 0.5000 0.0000
0.5000 0.0000 0.0000
0.5000 0.5000 0.5000
0.2313 0.2313 0.2313
0.2441 0.7216 0.7216
0.2784 0.2784 0.7559
0.2784 0.7559 0.2784
0.7216 0.2441 0.7216
0.7216 0.7216 0.2441
0.7559 0.2784 0.2784
0.7687 0.7687 0.7687
```

space group = R-3m
spin magnetization = 0.0 Bohr magnetons per cell
uncorrected formation energy = -2410 kJ/mol of formula units
calculated density = 5483 kg/m³
V = 475.0 Å³ per cell



VASP calculation (PBE) on an optimized crystal structure of Ba7ZrN6.

Cell and atoms, written as POSCAR:
```
Ba7ZrN6
1.0
12.4990 0.0000 0.0000
0.0000 7.3237 0.0000
0.0000 0.0000 15.0251
Ba Zr N
28 4 24
direct
0.0000 0.0577 0.2500
0.0000 0.9423 0.7500
0.0057 0.2411 0.5265
0.0057 0.7589 0.0265
0.2199 0.4274 0.1224
0.2199 0.5726 0.6224
0.2304 0.2717 0.3728
0.2304 0.7283 0.8728
0.2696 0.2283 0.8728
0.2696 0.7717 0.3728
0.2801 0.0726 0.6224
0.2801 0.9274 0.1224
0.4943 0.2589 0.0265
0.4943 0.7411 0.5265
0.5000 0.4423 0.7500
0.5000 0.5577 0.2500
0.5057 0.2589 0.4735
0.5057 0.7411 0.9735
0.7199 0.0726 0.8776
0.7199 0.9274 0.3776
0.7304 0.2283 0.6272
0.7304 0.7717 0.1272
0.7696 0.2717 0.1272
0.7696 0.7283 0.6272
0.7801 0.4274 0.3776
0.7801 0.5726 0.8776
0.9943 0.2411 0.9735
0.9943 0.7589 0.4735
0.0000 0.4338 0.7500
0.0000 0.5662 0.2500
0.5000 0.0662 0.2500
0.5000 0.9338 0.7500
0.0183 0.3922 0.3605
0.0183 0.6078 0.8605
0.1322 0.2579 0.7197
0.1322 0.7421 0.2197
0.1645 0.0172 0.9828
0.1645 0.9828 0.4828
0.3355 0.4828 0.4828
0.3355 0.5172 0.9828
0.3678 0.2421 0.2197
0.3678 0.7579 0.7197
0.4817 0.1078 0.8605
0.4817 0.8922 0.3605
0.5183 0.1078 0.6395
0.5183 0.8922 0.1395
0.6322 0.2421 0.2803
0.6322 0.7579 0.7803
0.6645 0.4828 0.0172
0.6645 0.5172 0.5172
0.8355 0.0172 0.5172
0.8355 0.9828 0.0172
0.8678 0.2579 0.7803
0.8678 0.7421 0.2803
0.9817 0.3922 0.1395
0.9817 0.6078 0.6395
```

space group = Pbcn
spin magnetization = 0.0 Bohr magnetons per cell
uncorrected formation energy = -824 kJ/mol of formula units
calculated density = 5489 kg/m³
V = 1375.4 Å³ per cell